Record 1
First-principles (PBE-GGA) data for a relaxed Zr2BrF2 crystal, as listed in the Alexandria database.

ρ, g/cm³: 5.758
Distance to the lowest polymorph of the same formula, meV/atom: 149.1
Raw formation energy, kJ/mol of formula units: -611

Cell and atoms, written as CIF:
```
data_Zr2BrF2
_chemical_formula_sum 'Zr4 Br2 F4'
_symmetry_space_group_name_H-M 'P 4/m b m'
_symmetry_Int_Tables_number 127
_symmetry_space_group_name_Hall '-P 4 2ab'
_cell_length_a 7.2973
_cell_length_b 7.2973
_cell_length_c 3.2533
_cell_angle_alpha 90.00
_cell_angle_beta 90.00
_cell_angle_gamma 90.00
loop_
_atom_site_label
_atom_site_fract_x
_atom_site_fract_y
_atom_site_fract_z
Zr1 0.1357 0.3643 0.0000
Br1 0.0000 0.0000 0.0000
F1 0.1215 0.6215 0.5000
```

=====

Record 2
First-principles (PBE-GGA) data for a relaxed IrPd3Au crystal, as listed in the Alexandria database.

Energy relative to the elements, meV per atom: 1184
ρ, g/cm³: 10.555
Distance to the lowest polymorph of the same formula, meV/atom: 0.0

Cell and atoms, written as CIF:
```
data_IrPd3Au
_chemical_formula_sum 'Ir1 Pd3 Au1'
_symmetry_space_group_name_H-M 'P m -3 m'
_symmetry_Int_Tables_number 221
_symmetry_space_group_name_Hall '-P 4 2 3'
_cell_length_a 4.8125
_cell_length_b 4.8125
_cell_length_c 4.8125
_cell_angle_alpha 90.00
_cell_angle_beta 90.00
_cell_angle_gamma 90.00
loop_
_atom_site_label
_atom_site_fract_x
_atom_site_fract_y
_atom_site_fract_z
Ir1 0.0000 0.0000 0.0000
Pd1 0.0000 0.0000 0.5000
Au1 0.5000 0.5000 0.5000
```

=====

Record 3
First-principles (PBE-GGA) data for a relaxed CsRb2BaBr6 crystal, as listed in the Alexandria database.

ρ, g/cm³: 2.711
Raw formation energy, kJ/mol of formula units: -1421

Cell and atoms, written as CIF:
```
data_CsRb2BaBr6
_chemical_formula_sum 'Cs4 Rb8 Ba4 Br24'
_symmetry_space_group_name_H-M 'F m -3 m'
_symmetry_Int_Tables_number 225
_symmetry_space_group_name_Hall '-F 4 2 3'
_cell_length_a 13.1139
_cell_length_b 13.1139
_cell_length_c 13.1139
_cell_angle_alpha 90.00
_cell_angle_beta 90.00
_cell_angle_gamma 90.00
loop_
_atom_site_label
_atom_site_fract_x
_atom_site_fract_y
_atom_site_fract_z
Cs1 0.0000 0.0000 0.0000
Rb1 0.2500 0.2500 0.2500
Ba1 0.0000 0.0000 0.5000
Br1 0.0000 0.0000 0.2597
```

=====

Record 4
First-principles (PBE-GGA) data for a relaxed TaFeNi2 crystal, as listed in the Alexandria database.

Energy relative to the elements, meV per atom: -74
ρ, g/cm³: 11.627

Cell and atoms, written as CIF:
```
data_TaFeNi2
_chemical_formula_sum 'Ta4 Fe4 Ni8'
_symmetry_space_group_name_H-M 'F -4 3 m'
_symmetry_Int_Tables_number 216
_symmetry_space_group_name_Hall 'F -4 2 3'
_cell_length_a 5.8707
_cell_length_b 5.8707
_cell_length_c 5.8707
_cell_angle_alpha 90.00
_cell_angle_beta 90.00
_cell_angle_gamma 90.00
loop_
_atom_site_label
_atom_site_fract_x
_atom_site_fract_y
_atom_site_fract_z
Ta1 0.0000 0.0000 0.0000
Fe1 0.2500 0.2500 0.7500
Ni1 0.0000 0.0000 0.5000
Ni2 0.2500 0.2500 0.2500
```

=====

Record 5
First-principles (PBE-GGA) data for a relaxed Th4Ge3Rh12Pb crystal, as listed in the Alexandria database.

Energy relative to the elements, meV per atom: -192
ρ, g/cm³: 10.455

Cell and atoms, written as CIF:
```
data_Th4Ge3Rh12Pb
_chemical_formula_sum 'Th8 Ge6 Rh24 Pb2'
_symmetry_space_group_name_H-M 'I m -3 m'
_symmetry_Int_Tables_number 229
_symmetry_space_group_name_Hall '-I 4 2 3'
_cell_length_a 9.3679
_cell_length_b 9.3679
_cell_length_c 9.3679
_cell_angle_alpha 90.00
_cell_angle_beta 90.00
_cell_angle_gamma 90.00
loop_
_atom_site_label
_atom_site_fract_x
_atom_site_fract_y
_atom_site_fract_z
Th1 0.2500 0.2500 0.2500
Ge1 0.0000 0.0000 0.5000
Rh1 0.0000 0.0000 0.2632
Rh2 0.0000 0.2500 0.5000
Pb1 0.0000 0.0000 0.0000
```

=====

Record 6
First-principles (PBE-GGA) data for a relaxed AgOs4W crystal, as listed in the Alexandria database.

Energy relative to the elements, meV per atom: 671
ρ, g/cm³: 18.219

Cell and atoms, written as CIF:
```
data_AgOs4W
_chemical_formula_sum 'Ag4 Os16 W4'
_symmetry_space_group_name_H-M 'F -4 3 m'
_symmetry_Int_Tables_number 216
_symmetry_space_group_name_Hall 'F -4 2 3'
_cell_length_a 7.2670
_cell_length_b 7.2670
_cell_length_c 7.2670
_cell_angle_alpha 90.00
_cell_angle_beta 90.00
_cell_angle_gamma 90.00
loop_
_atom_site_label
_atom_site_fract_x
_atom_site_fract_y
_atom_site_fract_z
Ag1 0.0000 0.0000 0.0000
Os1 0.1252 0.1252 0.6252
W1 0.2500 0.2500 0.2500
```

=====

Record 7
First-principles (PBE-GGA) data for a relaxed LiZnPt2 crystal, as listed in the Alexandria database.

Energy relative to the elements, meV per atom: -497
ρ, g/cm³: 13.157

Cell and atoms, written as CIF:
```
data_LiZnPt2
_chemical_formula_sum 'Li3 Zn3 Pt6'
_symmetry_space_group_name_H-M 'R -3 m'
_symmetry_Int_Tables_number 166
_symmetry_space_group_name_Hall '-R 3 2"'
_cell_length_a 2.8092
_cell_length_b 2.8092
_cell_length_c 25.6240
_cell_angle_alpha 90.00
_cell_angle_beta 90.00
_cell_angle_gamma 120.00
loop_
_atom_site_label
_atom_site_fract_x
_atom_site_fract_y
_atom_site_fract_z
Li1 0.0000 0.0000 0.0000
Zn1 0.0000 0.0000 0.5000
Pt1 0.0000 0.0000 0.2489
```

=====

Record 8
First-principles (PBE-GGA) data for a relaxed Al6Ga5Ag crystal, as listed in the Alexandria database.

Energy relative to the elements, meV per atom: 68
ρ, g/cm³: 4.839
Distance to the lowest polymorph of the same formula, meV/atom: 42.0

Cell and atoms, written as CIF:
```
data_Al6Ga5Ag
_chemical_formula_sum 'Al12 Ga10 Ag2'
_symmetry_space_group_name_H-M 'C 1 2/m 1'
_symmetry_Int_Tables_number 12
_symmetry_space_group_name_Hall '-C 2y'
_cell_length_a 7.4437
_cell_length_b 14.9225
_cell_length_c 4.9168
_cell_angle_alpha 90.00
_cell_angle_beta 129.01
_cell_angle_gamma 90.00
loop_
_atom_site_label
_atom_site_fract_x
_atom_site_fract_y
_atom_site_fract_z
Al1 0.2464 0.0000 0.2450
Al2 0.2478 0.1672 0.7469
Ga1 0.0000 0.0000 0.5000
Ga2 0.0000 0.1660 0.0000
Ga3 0.0000 0.3384 0.5000
Ag1 0.0000 0.5000 0.0000
```

=====

Record 9
First-principles (PBE-GGA) data for a relaxed TaMo3 crystal, as listed in the Alexandria database.

Energy relative to the elements, meV per atom: -132
ρ, g/cm³: 11.906

Cell and atoms, written as CIF:
```
data_TaMo3
_chemical_formula_sum 'Ta1 Mo3'
_symmetry_space_group_name_H-M 'P 4/m m m'
_symmetry_Int_Tables_number 123
_symmetry_space_group_name_Hall '-P 4 2'
_cell_length_a 4.5226
_cell_length_b 4.5226
_cell_length_c 3.1964
_cell_angle_alpha 90.00
_cell_angle_beta 90.00
_cell_angle_gamma 90.00
loop_
_atom_site_label
_atom_site_fract_x
_atom_site_fract_y
_atom_site_fract_z
Ta1 0.0000 0.0000 0.0000
Mo1 0.0000 0.5000 0.5000
Mo2 0.5000 0.5000 0.0000
```

=====

Record 10
First-principles (PBE-GGA) data for a relaxed RbMnSbI6 crystal, as listed in the Alexandria database.

ρ, g/cm³: 3.982
Raw formation energy, kJ/mol of formula units: -540

Cell and atoms, written as CIF:
```
data_RbMnSbI6
_chemical_formula_sum 'Rb1 Mn1 Sb1 I6'
_symmetry_space_group_name_H-M 'P 3 1 2'
_symmetry_Int_Tables_number 149
_symmetry_space_group_name_Hall 'P 3 2'
_cell_length_a 7.7278
_cell_length_b 7.7278
_cell_length_c 8.2527
_cell_angle_alpha 90.00
_cell_angle_beta 90.00
_cell_angle_gamma 120.00
loop_
_atom_site_label
_atom_site_fract_x
_atom_site_fract_y
_atom_site_fract_z
Rb1 0.0000 0.0000 0.0000
Mn1 0.3333 0.6667 0.5000
Sb1 0.6667 0.3333 0.5000
I1 0.0142 0.3779 0.7075
```

=====

Record 11
First-principles (PBE-GGA) data for a relaxed FeCuRhW crystal, as listed in the Alexandria database.

Energy relative to the elements, meV per atom: 85
ρ, g/cm³: 12.718

Cell and atoms, written as CIF:
```
data_FeCuRhW
_chemical_formula_sum 'Fe4 Cu4 Rh4 W4'
_symmetry_space_group_name_H-M 'F -4 3 m'
_symmetry_Int_Tables_number 216
_symmetry_space_group_name_Hall 'F -4 2 3'
_cell_length_a 5.9637
_cell_length_b 5.9637
_cell_length_c 5.9637
_cell_angle_alpha 90.00
_cell_angle_beta 90.00
_cell_angle_gamma 90.00
loop_
_atom_site_label
_atom_site_fract_x
_atom_site_fract_y
_atom_site_fract_z
Fe1 0.0000 0.0000 0.0000
Cu1 0.2500 0.2500 0.2500
Rh1 0.0000 0.0000 0.5000
W1 0.2500 0.2500 0.7500
```

=====

Record 12
First-principles (PBE-GGA) data for a relaxed Re2Sn2Pt crystal, as listed in the Alexandria database.

Energy relative to the elements, meV per atom: 889
ρ, g/cm³: 13.583
Distance to the lowest polymorph of the same formula, meV/atom: 495.4

Cell and atoms, written as CIF:
```
data_Re2Sn2Pt
_chemical_formula_sum 'Re4 Sn4 Pt2'
_symmetry_space_group_name_H-M 'I 4/m m m'
_symmetry_Int_Tables_number 139
_symmetry_space_group_name_Hall '-I 4 2'
_cell_length_a 3.9282
_cell_length_b 3.9282
_cell_length_c 12.7539
_cell_angle_alpha 90.00
_cell_angle_beta 90.00
_cell_angle_gamma 90.00
loop_
_atom_site_label
_atom_site_fract_x
_atom_site_fract_y
_atom_site_fract_z
Re1 0.0000 0.0000 0.0920
Sn1 0.0000 0.5000 0.2500
Pt1 0.0000 0.0000 0.5000
```